one) {
  "formula": "SrTaMo2",
  "functional": "PBE",
  "state": "optimized geometry",
  "lattice": [[2.929, 0.003, 0.000], [-1.073, 2.725, 0.000], [0.000, 0.000, 10.039]],
  "species": ["Sr", "Ta", "Mo", "Mo"],
  "fractional_positions": [[0.000, 0.000, 0.490], [0.500, 0.500, 0.793], [0.500, 0.500, 0.210], [0.000, 0.000, 0.008]],
  "magmom_total_mub_per_atom": 0.000,
  "space_group": "Cmm2 (35)"
}

***

two) {
  "formula": "SrTaMo2",
  "functional": "PBE",
  "state": "optimized geometry",
  "lattice": [[-4.538, -0.772, -1.782], [1.922, -2.445, -3.834], [-1.830, -9.386, 1.891]],
  "species": ["Ta", "Mo", "Mo", "Sr", "Mo", "Sr", "Mo", "Ta"],
  "fractional_positions": [[0.750, 0.250, 0.500], [0.875, 0.099, 0.750], [0.901, 0.625, 0.250], [0.250, 0.750, 0.500], [0.375, 0.151, 0.750], [0.500, 0.500, 0.000], [0.849, 0.125, 0.250], [0.000, 0.000, 0.000]],
  "magmom_total_mub_per_atom": 0.000,
  "space_group": "I-42d (122)"
}

***

three) {
  "formula": "SrTaMo2",
  "functional": "PBE",
  "state": "optimized geometry",
  "lattice": [[0.284, -1.840, 4.423], [-4.002, -1.189, 2.365], [-1.061, -4.619, 0.749]],
  "species": ["Mo", "Ta", "Sr", "Mo"],
  "fractional_positions": [[0.250, 0.250, 0.250], [0.500, 0.500, 0.500], [0.000, 0.000, 0.000], [0.750, 0.750, 0.750]],
  "magmom_total_mub_per_atom": 0.000,
  "space_group": "Fm-3m (225)"
}

***

four) {
  "formula": "SrTaMo2",
  "functional": "PBE",
  "state": "optimized geometry",
  "lattice": [[3.162, 0.000, 0.000], [0.000, 5.077, 0.000], [0.000, 0.000, 4.820]],
  "species": ["Mo", "Ta", "Sr", "Mo"],
  "fractional_positions": [[0.500, 0.500, 0.000], [0.000, 0.500, 0.500], [0.500, 0.000, 0.500], [0.000, 0.000, 0.000]],
  "magmom_total_mub_per_atom": 0.000,
  "space_group": "Pmmm (47)"
}

***

Best to worst by energy: one), three), four), two).

***

one) {
  "formula": "SrTaMo2",
  "functional": "PBE",
  "state": "optimized geometry",
  "lattice": [[5.900, -0.012, 0.002], [2.917, 5.128, -0.002], [-3.812, -3.586, 2.723]],
  "species": ["Ta", "Mo", "Sr", "Mo"],
  "fractional_positions": [[0.239, 0.739, 0.500], [0.964, 0.964, 0.000], [0.516, 0.516, 0.000], [0.781, 0.281, 0.500]],
  "magmom_total_mub_per_atom": 0.000,
  "space_group": "Imm2 (44)"
}

***

two) {
  "formula": "SrTaMo2",
  "functional": "PBE",
  "state": "optimized geometry",
  "lattice": [[4.783, 0.000, 0.000], [0.013, 4.783, 0.000], [-2.398, -2.392, 3.378]],
  "species": ["Mo", "Ta", "Mo", "Sr"],
  "fractional_positions": [[0.250, 0.750, 0.500], [0.750, 0.250, 0.500], [0.000, 0.000, 0.000], [0.500, 0.500, 0.000]],
  "magmom_total_mub_per_atom": 0.000,
  "space_group": "I-4m2 (119)"
}

***

Best to worst by energy: one), two).

***

one) {
  "formula": "SrTaMo2",
  "functional": "PBE",
  "state": "optimized geometry",
  "lattice": [[-1.788, -1.513, -5.190], [-0.630, -5.612, -0.727], [-1.649, 4.706, 2.749]],
  "species": ["Sr", "Ta", "Mo", "Mo"],
  "fractional_positions": [[0.750, 0.250, 0.500], [0.250, 0.750, 0.500], [0.021, 0.021, 0.000], [0.479, 0.479, 0.000]],
  "magmom_total_mub_per_atom": 0.000,
  "space_group": "Immm (71)"
}

***

two) {
  "formula": "SrTaMo2",
  "functional": "PBE",
  "state": "optimized geometry",
  "lattice": [[-2.514, -0.141, -3.613], [2.460, -0.512, -1.692], [-0.258, -6.897, 0.448]],
  "species": ["Ta", "Mo", "Mo", "Sr"],
  "fractional_positions": [[0.500, 0.750, 0.750], [0.000, 0.088, 0.911], [0.000, 0.412, 0.589], [0.500, 0.250, 0.250]],
  "magmom_total_mub_per_atom": 0.000,
  "space_group": "P2/m (10)"
}

***

three) {
  "formula": "SrTaMo2",
  "functional": "PBE",
  "state": "optimized geometry",
  "lattice": [[-5.725, 0.291, 0.394], [2.293, -2.011, -4.869], [-0.058, -2.516, 1.012]],
  "species": ["Sr", "Mo", "Mo", "Ta"],
  "fractional_positions": [[0.500, 0.000, 0.500], [0.500, 0.500, 0.000], [0.000, 0.000, 0.000], [0.000, 0.500, 0.500]],
  "magmom_total_mub_per_atom": 0.000,
  "space_group": "Cmmm (65)"
}

***

four) {
  "formula": "SrTaMo2",
  "functional": "PBE",
  "state": "optimized geometry",
  "lattice": [[3.222, 0.000, 0.000], [0.000, 3.222, 0.000], [0.000, 0.000, 8.271]],
  "species": ["Sr", "Mo", "Mo", "Ta"],
  "fractional_positions": [[0.000, 0.000, 0.486], [0.500, 0.500, 0.180], [0.000, 0.000, 0.012], [0.500, 0.500, 0.822]],
  "magmom_total_mub_per_atom": 0.007,
  "space_group": "P4mm (99)"
}

***

Best to worst by energy: four), two), one), three).

***

one) {
  "formula": "SrTaMo2",
  "functional": "PBE",
  "state": "optimized geometry",
  "lattice": [[-9.864, 3.833, 2.391], [-10.289, 3.409, -0.453], [-10.687, 1.220, 1.417]],
  "species": ["Mo", "Ta", "Sr", "Mo"],
  "fractional_positions": [[0.493, 0.493, 0.493], [0.750, 0.750, 0.750], [0.250, 0.250, 0.250], [0.007, 0.007, 0.007]],
  "magmom_total_mub_per_atom": 0.000,
  "space_group": "R-3m (166)"
}

***

two) {
  "formula": "SrTaMo2",
  "functional": "PBE",
  "state": "optimized geometry",
  "lattice": [[-0.646, -4.302, -2.142], [1.950, -4.291, -1.140], [-2.192, -2.512, 5.706]],
  "species": ["Sr", "Ta", "Mo", "Mo"],
  "fractional_positions": [[0.501, 0.501, 0.507], [0.254, 0.254, 0.185], [0.996, 0.996, 0.994], [0.749, 0.749, 0.814]],
  "magmom_total_mub_per_atom": 0.000,
  "space_group": "Cm (8)"
}

***

three) {
  "formula": "SrTaMo2",
  "functional": "PBE",
  "state": "optimized geometry",
  "lattice": [[-3.079, 1.755, -0.516], [-1.113, -0.997, 3.251], [2.931, 5.978, 2.837]],
  "species": ["Sr", "Ta", "Mo", "Mo"],
  "fractional_positions": [[0.500, 0.500, 0.250], [0.500, 0.500, 0.750], [0.000, 0.000, 0.912], [0.000, 0.000, 0.588]],
  "magmom_total_mub_per_atom": 0.000,
  "space_group": "P4/mmm (123)"
}

***

Best to worst by energy: three), two), one).

***

one) {
  "formula": "SrTcMo2",
  "functional": "PBE",
  "state": "optimized geometry",
  "lattice": [[-0.082, 0.873, 3.084], [-0.919, -2.962, 0.815], [7.491, -2.105, 0.794]],
  "species": ["Sr", "Tc", "Mo", "Mo"],
  "fractional_positions": [[0.000, 0.000, 0.508], [0.500, 0.500, 0.818], [0.500, 0.500, 0.180], [0.000, 0.000, 0.994]],
  "magmom_total_mub_per_atom": 0.000,
  "space_group": "P4mm (99)"
}

***

two) {
  "formula": "SrTcMo2",
  "functional": "PBE",
  "state": "optimized geometry",
  "lattice": [[4.682, -0.004, 0.000], [-0.001, 4.682, 0.000], [-2.341, -2.339, 3.313]],
  "species": ["Mo", "Tc", "Mo", "Sr"],
  "fractional_positions": [[0.000, 0.000, 0.000], [0.750, 0.250, 0.500], [0.250, 0.750, 0.500], [0.500, 0.500, 0.000]],
  "magmom_total_mub_per_atom": 0.000,
  "space_group": "F-43m (216)"
}

***

Best to worst by energy: one), two).

***

one) {
  "formula": "SrTcMo2",
  "functional": "PBE",
  "state": "optimized geometry",
  "lattice": [[-4.314, 0.494, -3.565], [-0.133, -3.844, -4.095], [-0.220, 1.079, 5.509]],
  "species": ["Mo", "Sr", "Tc", "Mo"],
  "fractional_positions": [[0.006, 0.006, 0.000], [0.496, 0.496, 0.000], [0.220, 0.720, 0.500], [0.778, 0.278, 0.500]],
  "magmom_total_mub_per_atom": 0.000,
  "space_group": "Imm2 (44)"
}

***

two) {
  "formula": "SrTcMo2",
  "functional": "PBE",
  "state": "optimized geometry",
  "lattice": [[2.853, -0.008, 0.000], [-0.914, 2.703, 0.000], [0.000, 0.000, 9.741]],
  "species": ["Mo", "Tc", "Sr", "Mo"],
  "fractional_positions": [[0.000, 0.000, 0.542], [0.500, 0.500, 0.750], [0.500, 0.500, 0.250], [0.000, 0.000, 0.958]],
  "magmom_total_mub_per_atom": 0.000,
  "space_group": "Cmmm (65)"
}

***

three) {
  "formula": "SrTcMo2",
  "functional": "PBE",
  "state": "optimized geometry",
  "lattice": [[4.955, 0.000, 0.000], [0.000, 4.955, 0.000], [2.478, 2.478, 8.628]],
  "species": ["Mo", "Mo", "Mo", "Sr", "Tc", "Mo", "Sr", "Tc"],
  "fractional_positions": [[0.375, 0.125, 0.750], [0.875, 0.125, 0.250], [0.875, 0.125, 0.750], [0.250, 0.750, 0.500], [0.750, 0.250, 0.500], [0.875, 0.625, 0.250], [0.500, 0.500, 0.000], [0.000, 0.000, 0.000]],
  "magmom_total_mub_per_atom": 0.000,
  "space_group": "I4_1/amd (141)"
}

***

four) {
  "formula": "SrTcMo2",
  "functional": "PBE",
  "state": "optimized geometry",
  "lattice": [[4.182, 0.000, 0.000], [0.000, 2.997, 0.002], [0.000, 1.496, 6.775]],
  "species": ["Mo", "Mo", "Tc", "Sr"],
  "fractional_positions": [[0.000, 0.004, 0.994], [0.500, 0.255, 0.164], [0.500, 0.742, 0.836], [0.000, 0.500, 0.506]],
  "magmom_total_mub_per_atom": 0.000,
  "space_group": "Pm (6)"
}

***

Best to worst by energy: four), two), one), three).

***

one) {
  "formula": "SrTcMo2",
  "functional": "PBE",
  "state": "optimized geometry",
  "lattice": [[0.000, 3.300, 3.300], [3.300, 0.000, 3.300], [3.300, 3.300, 0.000]],
  "species": ["Mo", "Mo", "Sr", "Tc"],
  "fractional_positions": [[0.250, 0.250, 0.250], [0.750, 0.750, 0.750], [0.000, 0.000, 0.000], [0.500, 0.500, 0.500]],
  "magmom_total_mub_per_atom": 0.000,
  "space_group": "Fm-3m (225)"
}

***

two) {
  "formula": "SrTcMo2",
  "functional": "PBE",
  "state": "optimized geometry",
  "lattice": [[5.117, 0.000, 0.008], [4.119, 3.036, 0.008], [1.500, 0.493, 5.712]],
  "species": ["Mo", "Mo", "Tc", "Sr"],
  "fractional_positions": [[0.001, 0.001, 0.996], [0.289, 0.289, 0.135], [0.715, 0.715, 0.864], [0.495, 0.495, 0.505]],
  "magmom_total_mub_per_atom": 0.000,
  "space_group": "Cm (8)"
}

***

Best to worst by energy: two), one).

***

one) {
  "formula": "SrTcMo2",
  "functional": "PBE",
  "state": "optimized geometry",
  "lattice": [[2.865, -0.004, 0.000], [-0.960, 2.699, 0.000], [0.000, 0.000, 9.647]],
  "species": ["Tc", "Mo", "Sr", "Mo"],
  "fractional_positions": [[0.500, 0.500, 0.786], [0.000, 0.000, 0.996], [0.000, 0.000, 0.506], [0.500, 0.500, 0.211]],
  "magmom_total_mub_per_atom": 0.000,
  "space_group": "Cmm2 (35)"
}

***

two) {
  "formula": "SrTcMo2",
  "functional": "PBE",
  "state": "optimized geometry",
  "lattice": [[3.170, 0.000, 0.000], [0.000, 4.716, 0.000], [0.000, 0.000, 4.880]],
  "species": ["Sr", "Mo", "Mo", "Tc"],
  "fractional_positions": [[0.500, 0.000, 0.500], [0.000, 0.000, 0.000], [0.500, 0.500, 0.000], [0.000, 0.500, 0.500]],
  "magmom_total_mub_per_atom": 0.000,
  "space_group": "Pmmm (47)"
}

***

Best to worst by energy: one), two).

***

one) {
  "formula": "Sr2TcMo",
  "functional": "PBE",
  "state": "optimized geometry",
  "lattice": [[10.722, -0.015, -0.009], [10.249, 3.150, -0.009], [10.249, 1.533, 2.753]],
  "species": ["Tc", "Sr", "Mo", "Sr"],
  "fractional_positions": [[0.250, 0.250, 0.250], [0.503, 0.503, 0.503], [0.750, 0.750, 0.750], [0.997, 0.997, 0.997]],
  "magmom_total_mub_per_atom": 0.418,
  "space_group": "R-3m (166)"
}

***

two) {
  "formula": "Sr2TcMo",
  "functional": "PBE",
  "state": "optimized geometry",
  "lattice": [[4.091, 0.000, 0.000], [0.000, 4.096, 0.000], [0.000, 0.000, 5.330]],
  "species": ["Sr", "Tc", "Mo", "Sr"],
  "fractional_positions": [[0.500, 0.500, 0.000], [0.500, 0.000, 0.500], [0.000, 0.500, 0.500], [0.000, 0.000, 0.000]],
  "magmom_total_mub_per_atom": 0.000,
  "space_group": "P4/mmm (123)"
}

***

three) {
  "formula": "Sr2TcMo",
  "functional": "PBE",
  "state": "optimized geometry",
  "lattice": [[-1.464, 4.487, 2.458], [-0.342, -1.470, 2.479], [5.186, -0.419, 3.854]],
  "species": ["Sr", "Sr", "Mo", "Tc"],
  "fractional_positions": [[0.000, 0.999, 0.002], [0.000, 0.501, 0.498], [0.500, 0.750, 0.750], [0.500, 0.250, 0.250]],
  "magmom_total_mub_per_atom": 0.000,
  "space_group": "P2/m (10)"
}

***

Best to worst by energy: two), three), one).

***

one) {
  "formula": "Sr2TcMo",
  "functional": "PBE",
  "state": "optimized geometry",
  "lattice": [[4.192, -0.007, 0.036], [2.104, 3.625, 0.036], [2.011, 1.156, 8.780]],
  "species": ["Sr", "Sr", "Tc", "Mo"],
  "fractional_positions": [[0.784, 0.784, 0.650], [0.966, 0.966, 0.102], [0.546, 0.546, 0.361], [0.204, 0.204, 0.387]],
  "magmom_total_mub_per_atom": 0.000,
  "space_group": "Cm (8)"
}

***

two) {
  "formula": "Sr2TcMo",
  "functional": "PBE",
  "state": "optimized geometry",
  "lattice": [[9.548, 0.285, -0.030], [8.024, 5.183, 0.030], [-8.722, -2.940, 2.556]],
  "species": ["Mo", "Tc", "Sr", "Sr"],
  "fractional_positions": [[0.250, 0.750, 0.500], [0.750, 0.250, 0.500], [0.899, 0.899, 0.000], [0.601, 0.601, 0.000]],
  "magmom_total_mub_per_atom": 0.000,
  "space_group": "Immm (71)"
}

***

three) {
  "formula": "Sr2TcMo",
  "functional": "PBE",
  "state": "optimized geometry",
  "lattice": [[-1.916, 0.015, -5.066], [-2.629, -4.633, 0.980], [-2.973, 1.926, 1.130]],
  "species": ["Tc", "Mo", "Sr", "Sr"],
  "fractional_positions": [[0.500, 0.000, 0.500], [0.000, 0.500, 0.500], [0.000, 0.000, 0.000], [0.500, 0.500, 0.000]],
  "magmom_total_mub_per_atom": 1.450,
  "space_group": "P4/mmm (123)"
}

***

Best to worst by energy: one), two), three).